Tb4Pr9Tl11: relaxed, PBE.

```
data_Tb4Pr9Tl11
_symmetry_space_group_name_H-M 'C m m m'
_symmetry_Int_Tables_number 65
_symmetry_space_group_name_Hall '-C 2 2'
_cell_length_a 18.240
_cell_length_b 21.893
_cell_length_c 3.595
_cell_angle_alpha 90.00
_cell_angle_beta 90.00
_cell_angle_gamma 90.00
loop_
_atom_site_label
_atom_site_type_symbol
_atom_site_fract_x
_atom_site_fract_y
_atom_site_fract_z
Tb1 Tb 0.151 0.085 0.000
Pr1 Pr 0.000 0.000 0.000
Pr2 Pr 0.117 0.242 0.000
Pr3 Pr 0.122 0.414 0.000
Tl1 Tl 0.000 0.135 0.500
Tl2 Tl 0.000 0.331 0.500
Tl3 Tl 0.000 0.500 0.500
Tl4 Tl 0.241 0.500 0.500
Tl5 Tl 0.244 0.326 0.500
```

Summary:
Fermi-level density of states, states/eV/f.u.: 25.16
Crystal system: orthorhombic
Theoretical density, g cm⁻³: 9.61
Total energy, eV/atom: -3.9571